Record 1
# PBE Sc2Ta2Ga, optimized geometry
data_Sc2Ta2Ga
_symmetry_space_group_name_H-M 'P 1'
_symmetry_Int_Tables_number 1
_cell_length_a 7.012
_cell_length_b 7.012
_cell_length_c 4.164
_cell_angle_alpha 90.00
_cell_angle_beta 90.00
_cell_angle_gamma 90.00
loop_
_symmetry_equiv_pos_as_xyz
'x,y,z'
loop_
_atom_site_label
_atom_site_type_symbol
_atom_site_fract_x
_atom_site_fract_y
_atom_site_fract_z
Sc1 Sc 0.163 0.663 0.500
Sc2 Sc 0.663 0.837 0.500
Sc3 Sc 0.837 0.337 0.500
Sc4 Sc 0.337 0.163 0.500
Ga1 Ga 0.000 0.000 0.000
Ga2 Ga 0.500 0.500 0.000
Ta1 Ta 0.364 0.864 0.000
Ta2 Ta 0.864 0.636 0.000
Ta3 Ta 0.636 0.136 0.000
Ta4 Ta 0.136 0.364 0.000
# total energy	-7.7860	eV per atom
# N(E_F)	9.66	states/eV per cell


Record 2
# PBE Sc2TaGa2, optimized geometry
data_Sc2TaGa2
_symmetry_space_group_name_H-M 'P 1'
_symmetry_Int_Tables_number 1
_cell_length_a 3.492
_cell_length_b 3.492
_cell_length_c 9.029
_cell_angle_alpha 78.85
_cell_angle_beta 78.85
_cell_angle_gamma 90.00
loop_
_symmetry_equiv_pos_as_xyz
'x,y,z'
loop_
_atom_site_label
_atom_site_type_symbol
_atom_site_fract_x
_atom_site_fract_y
_atom_site_fract_z
Sc1 Sc 0.398 0.398 0.204
Sc2 Sc 0.602 0.602 0.796
Ga1 Ga 0.750 0.250 0.500
Ga2 Ga 0.250 0.750 0.500
Ta1 Ta 0.000 0.000 0.000
# ΔE to the lowest computed polymorph	509	meV/atom
# total energy	-5.9201	eV per atom
# N(E_F)	6.62	states/eV per cell


Record 3
# PBE Sc2TaGa2, optimized geometry
data_Sc2TaGa2
_symmetry_space_group_name_H-M 'P 1'
_symmetry_Int_Tables_number 1
_cell_length_a 7.483
_cell_length_b 7.483
_cell_length_c 3.352
_cell_angle_alpha 90.00
_cell_angle_beta 90.00
_cell_angle_gamma 90.00
loop_
_symmetry_equiv_pos_as_xyz
'x,y,z'
loop_
_atom_site_label
_atom_site_type_symbol
_atom_site_fract_x
_atom_site_fract_y
_atom_site_fract_z
Sc1 Sc 0.177 0.677 0.500
Sc2 Sc 0.677 0.823 0.500
Sc3 Sc 0.823 0.323 0.500
Sc4 Sc 0.323 0.177 0.500
Ga1 Ga 0.375 0.875 0.000
Ga2 Ga 0.875 0.625 0.000
Ga3 Ga 0.625 0.125 0.000
Ga4 Ga 0.125 0.375 0.000
Ta1 Ta 0.000 0.000 0.000
Ta2 Ta 0.500 0.500 0.000
# ΔE to the lowest computed polymorph	0	meV/atom
# total energy	-6.4295	eV per atom
# N(E_F)	9.05	states/eV per cell


Record 4
# PBE Sc3TaGa, optimized geometry
data_Sc3TaGa
_symmetry_space_group_name_H-M 'P 1'
_symmetry_Int_Tables_number 1
_cell_length_a 5.113
_cell_length_b 5.113
_cell_length_c 5.113
_cell_angle_alpha 90.00
_cell_angle_beta 90.00
_cell_angle_gamma 90.00
loop_
_symmetry_equiv_pos_as_xyz
'x,y,z'
loop_
_atom_site_label
_atom_site_type_symbol
_atom_site_fract_x
_atom_site_fract_y
_atom_site_fract_z
Sc1 Sc 0.000 0.500 0.000
Sc2 Sc 0.000 0.000 0.500
Sc3 Sc 0.500 0.000 0.000
Ga1 Ga 0.500 0.500 0.500
Ta1 Ta 0.000 0.000 0.000
# ΔE to the lowest computed polymorph	28	meV/atom
# total energy	-6.0511	eV per atom
# N(E_F)	6.22	states/eV per cell


Record 5
# PBE ScTaGa3, optimized geometry
data_ScTaGa3
_symmetry_space_group_name_H-M 'P 1'
_symmetry_Int_Tables_number 1
_cell_length_a 4.923
_cell_length_b 4.923
_cell_length_c 4.923
_cell_angle_alpha 90.00
_cell_angle_beta 90.00
_cell_angle_gamma 90.00
loop_
_symmetry_equiv_pos_as_xyz
'x,y,z'
loop_
_atom_site_label
_atom_site_type_symbol
_atom_site_fract_x
_atom_site_fract_y
_atom_site_fract_z
Sc1 Sc 0.500 0.500 0.500
Ga1 Ga 0.000 0.500 0.000
Ga2 Ga 0.000 0.000 0.500
Ga3 Ga 0.500 0.000 0.000
Ta1 Ta 0.000 0.000 0.000
# ΔE to the lowest computed polymorph	378	meV/atom
# total energy	-5.1340	eV per atom
# N(E_F)	2.85	states/eV per cell


Record 6
# PBE Sc3TaGa, optimized geometry
data_Sc3TaGa
_symmetry_space_group_name_H-M 'P 1'
_symmetry_Int_Tables_number 1
_cell_length_a 4.992
_cell_length_b 4.992
_cell_length_c 4.992
_cell_angle_alpha 90.00
_cell_angle_beta 90.00
_cell_angle_gamma 90.00
loop_
_symmetry_equiv_pos_as_xyz
'x,y,z'
loop_
_atom_site_label
_atom_site_type_symbol
_atom_site_fract_x
_atom_site_fract_y
_atom_site_fract_z
Sc1 Sc 0.000 0.500 0.000
Sc2 Sc 0.000 0.000 0.500
Sc3 Sc 0.500 0.000 0.000
Ga1 Ga 0.000 0.000 0.000
Ta1 Ta 0.500 0.500 0.500
# ΔE to the lowest computed polymorph	0	meV/atom
# total energy	-6.0795	eV per atom
# N(E_F)	8.22	states/eV per cell


Number 1: magnetic moment 0.000 μB/atom. Number 2: magnetic moment 0.000 μB/atom. Number 3: magnetic moment 0.000 μB/atom. Number 4: magnetic moment 0.000 μB/atom. Number 5: magnetic moment 0.000 μB/atom. Number 6: magnetic moment 0.652 μB/atom.